Entry 1:
This record from Alexandria describes AcYSb after structural relaxation. The functional is PBE.

Polymorph energy (0 for the lowest one) in eV per atom: 0.125
E_form (uncorrected) in eV per atom: -0.499

Unit cell a=5.2403 b=5.2403 c=4.3893 alpha=90.00 beta=90.00 gamma=120.00
Closest atoms and distances in Å follow each position.
Space group P3m1 (No. 156)
One atom of each set of equivalent atoms:
Ac 0.0000 0.0000 0.0000  6 Sb 3.73-3.74, 6 Y 3.74
Y 0.6667 0.3333 0.4997  3 Sb 3.03
Sb 0.3333 0.6667 0.5013  3 Y 3.03

---

Entry 2:
This record from Alexandria describes PaTaSi2 after structural relaxation. The functional is PBE.

E_form (uncorrected) in eV per atom: -0.315

Unit cell a=3.8824 b=3.8824 c=18.4654 alpha=90.00 beta=90.00 gamma=120.00
Closest atoms and distances in Å follow each position.
Space group R-3m (No. 166, hexagonal axes)
One atom of each set of equivalent atoms:
Pa 0.0000 0.0000 0.0000  6 Si 2.84
Ta 0.0000 0.0000 0.5000  6 Si 2.61
Si 0.0000 0.0000 0.2388  3 Ta 2.61, 3 Pa 2.84

---

Entry 3:
This record from Alexandria describes LaNdTlBr after structural relaxation. The functional is PBE.

Polymorph energy (0 for the lowest one) in eV per atom: 0.115
E_form (uncorrected) in eV per atom: -0.662

Unit cell a=7.8171 b=7.8171 c=7.8171 alpha=90.00 beta=90.00 gamma=90.00
Closest atoms and distances in Å follow each position.
Space group F-43m (No. 216)
One atom of each set of equivalent atoms:
La 0.0000 0.0000 0.0000  4 Tl 3.38, 4 Br 3.38
Nd 0.0000 0.0000 0.5000  4 Tl 3.38, 4 Br 3.38
Tl 0.2500 0.2500 0.2500  4 La 3.38, 4 Nd 3.38
Br 0.2500 0.2500 0.7500  4 La 3.38, 4 Nd 3.38

---

Entry 4:
This record from Alexandria describes TlCuRe2 after structural relaxation. The functional is PBE.

Polymorph energy (0 for the lowest one) in eV per atom: 0.668
Energy of formation in eV per atom: 1.124

Unit cell a=6.3320 b=6.3320 c=6.3320 alpha=90.00 beta=90.00 gamma=90.00
Closest atoms and distances in Å follow each position.
Space group Fm-3m (No. 225)
One atom of each set of equivalent atoms:
Tl 0.0000 0.0000 0.0000  8 Re 2.74
Cu 0.0000 0.0000 0.5000  8 Re 2.74
Re 0.2500 0.2500 0.2500  4 Tl 2.74, 4 Cu 2.74

---

Entry 5:
This record from Alexandria describes Nb2NiS6 after structural relaxation. The functional is PBE.

E_form (uncorrected) in eV per atom: -0.606

Unit cell a=5.7597 b=5.7597 c=10.4832 alpha=90.00 beta=90.00 gamma=90.00
Closest atoms and distances in Å follow each position.
Space group P4_2/mnm (No. 136)
One atom of each set of equivalent atoms:
Nb 0.0000 0.0000 0.1526  6 S 2.38-2.53
Ni 0.0000 0.0000 0.5000  6 S 2.31-2.32
S 0.1902 0.1902 0.3354  1 Ni 2.32, 2 Nb 2.46-2.53
S 0.2165 0.2165 0.0000  1 Ni 2.31, 2 Nb 2.38

---

Entry 6:
This record from Alexandria describes TlH6BrN2 after structural relaxation. The functional is PBE.

E_tot in eV per atom: -4.54

Unit cell a=10.1243 b=9.3590 c=6.7663 alpha=90.00 beta=91.84 gamma=90.00
Closest atoms and distances in Å follow each position.
Space group C2/c (No. 15)
One atom of each set of equivalent atoms:
Tl 0.0000 0.1861 0.2500  2 N 2.66, 2 H 2.96
H 0.1389 0.4975 0.2105  1 N 1.03
H 0.1652 0.3860 0.0272  1 N 1.02
H 0.2344 0.1189 0.7742  1 N 1.03
Br 0.0000 0.2549 0.7500  6 H 2.69-2.76
N 0.1694 0.3959 0.1779  3 H 1.02-1.03

---

| no. | magnetization (μB per formula unit) |
| --- | --- |
| 1 | 0.001 |
| 2 | 0.000 |
| 3 | 0.000 |
| 4 | 0.000 |
| 5 | 0.000 |
| 6 | 0.000 |